The following is a DFT calculation (PBE-GGA) of a relaxed structure of Li5Tl2Pb2.

The space group is Cmce (No. 64) and the conventional cell measures 14.0420, 7.6900 and 7.4262 Å, with angles of 90.00, 90.00 and 90.00 degrees. Symmetry generates all atoms from Li at (0.0000, 0.0000, 0.0000), Li at (0.1378, 0.1675, 0.3302), Tl at (0.0000, 0.1437, 0.6454) and Pb at (0.2072, 0.0000, 0.0000).

As for the volume: 801.9 Å³ per cell. The calculated formation energy is -154 meV/atom. As for the relative energy among the computed polymorphs: 0.066 eV/atom.